VASP calculation (PBE) on a relaxed structure of Tb2Ga9Co3.

As for the formation energy: -0.491 eV/atom.

It has space group Cmcm (No. 63), with a = 12.7446 Å, b = 7.3968 Å, c = 9.4371 Å, α = 90.00°, β = 90.00° and γ = 90.00°. The distinct sites, in fractional coordinates, are Tb at (0.1644, 0.1672, 0.2500), Ga at (0.0000, 0.1216, 0.7500), Ga at (0.0000, 0.3338, 0.0572), Ga at (0.1067, 0.4432, 0.7500), Ga at (0.1668, 0.1672, 0.5716), Co at (0.0000, 0.0000, 0.0000) and Co at (0.1708, 0.5000, 0.0000).